one.
VASP calculation (PBE-GGA) on a geometry-optimized SrSb2TeCl structure.

Unit cell a=5.338 b=5.338 c=5.773 alpha=90.00 beta=90.00 gamma=90.00
Space group P4/mmm (No. 123)
Unique sites:
Sr (0.000, 0.000, 0.000) x1
Sb (0.000, 0.500, 0.500) x2
Te (0.500, 0.500, 0.000) x1
Cl (0.500, 0.500, 0.500) x1

=====

two.
VASP calculation (PBE-GGA) on a geometry-optimized SrSb2TeCl structure.

Unit cell a=6.177 b=6.177 c=5.960 alpha=90.00 beta=90.00 gamma=90.00
Space group P4/mmm (No. 123)
Unique sites:
Sr (0.000, 0.000, 0.000) x1
Sb (0.000, 0.500, 0.000) x2
Te (0.000, 0.000, 0.500) x1
Cl (0.500, 0.500, 0.500) x1

=====

The least stable of them is two.

=====

one.
VASP calculation (PBE-GGA) on a geometry-optimized TaSb3Cl structure.

Unit cell a=5.129 b=5.129 c=5.129 alpha=90.00 beta=90.00 gamma=90.00
Space group Pm-3m (No. 221)
Unique sites:
Ta (0.000, 0.000, 0.000) x1
Sb (0.000, 0.500, 0.500) x3
Cl (0.500, 0.500, 0.500) x1

=====

two.
VASP calculation (PBE-GGA) on a geometry-optimized TaSb3Cl structure.

Unit cell a=5.327 b=5.327 c=5.327 alpha=90.00 beta=90.00 gamma=90.00
Space group Pm-3m (No. 221)
Unique sites:
Ta (0.000, 0.000, 0.000) x1
Sb (0.000, 0.000, 0.500) x3
Cl (0.500, 0.500, 0.500) x1

=====

The least stable of them is one.

=====

one.
VASP calculation (PBE-GGA) on a geometry-optimized TaSbTe2Cl structure.

Unit cell a=5.316 b=5.316 c=5.463 alpha=90.00 beta=90.00 gamma=90.00
Space group P4/mmm (No. 123)
Unique sites:
Ta (0.000, 0.000, 0.000) x1
Sb (0.000, 0.000, 0.500) x1
Te (0.000, 0.500, 0.000) x2
Cl (0.500, 0.500, 0.500) x1

=====

two.
VASP calculation (PBE-GGA) on a geometry-optimized TaSbTe2Cl structure.

Unit cell a=5.300 b=5.300 c=5.064 alpha=90.00 beta=90.00 gamma=90.00
Space group P4/mmm (No. 123)
Unique sites:
Ta (0.000, 0.000, 0.000) x1
Sb (0.500, 0.500, 0.000) x1
Te (0.000, 0.500, 0.500) x2
Cl (0.500, 0.500, 0.500) x1

=====

The least stable of them is two.

=====

one.
VASP calculation (PBE-GGA) on a geometry-optimized TcSb2Cl structure.

Unit cell a=6.966 b=6.966 c=6.966 alpha=90.00 beta=90.00 gamma=90.00
Space group Fm-3m (No. 225)
Unique sites:
Tc (0.000, 0.000, 0.000) x4
Sb (0.250, 0.250, 0.250) x8
Cl (0.000, 0.000, 0.500) x4

=====

two.
VASP calculation (PBE-GGA) on a geometry-optimized TcSb2Cl structure.

Unit cell a=3.365 b=3.397 c=16.211 alpha=90.00 beta=90.00 gamma=90.00
Space group Imm2 (No. 44)
Unique sites:
Tc (0.000, 0.000, 0.000) x2
Sb (0.000, 0.000, 0.582) x2
Sb (0.000, 0.500, 0.372) x2
Cl (0.000, 0.500, 0.737) x2

=====

three.
VASP calculation (PBE-GGA) on a geometry-optimized TcSb2Cl structure.

Unit cell a=3.313 b=3.313 c=7.843 alpha=90.00 beta=90.00 gamma=90.00
Space group P4/mmm (No. 123)
Unique sites:
Tc (0.000, 0.000, 0.000) x1
Sb (0.500, 0.500, 0.205) x2
Cl (0.000, 0.000, 0.500) x1

=====

four.
VASP calculation (PBE-GGA) on a geometry-optimized TcSb2Cl structure.

Unit cell a=3.398 b=5.325 c=10.043 alpha=90.00 beta=90.00 gamma=90.00
Space group Amm2 (No. 38)
Unique sites:
Tc (0.000, 0.000, 0.000) x2
Sb (0.000, 0.000, 0.516) x2
Sb (0.500, 0.000, 0.804) x2
Cl (0.500, 0.000, 0.200) x2

=====

The least stable of them is one.

=====

one.
VASP calculation (PBE-GGA) on a geometry-optimized TcSb2Cl structure.

Unit cell a=6.919 b=6.919 c=6.919 alpha=90.00 beta=90.00 gamma=90.00
Space group F-43m (No. 216)
Unique sites:
Tc (0.000, 0.000, 0.000) x4
Sb (0.000, 0.000, 0.500) x4
Sb (0.250, 0.250, 0.750) x4
Cl (0.250, 0.250, 0.250) x4

=====

two.
VASP calculation (PBE-GGA) on a geometry-optimized TcSb2Cl structure.

Unit cell a=3.184 b=4.663 c=6.191 alpha=90.00 beta=90.00 gamma=90.00
Space group Pmmm (No. 47)
Unique sites:
Tc (0.000, 0.000, 0.000) x1
Sb (0.000, 0.500, 0.500) x1
Sb (0.500, 0.500, 0.000) x1
Cl (0.500, 0.000, 0.500) x1

=====

three.
VASP calculation (PBE-GGA) on a geometry-optimized TcSb2Cl structure.

Unit cell a=3.496 b=3.496 c=7.657 alpha=90.00 beta=90.00 gamma=90.00
Space group P4mm (No. 99)
Unique sites:
Tc (0.000, 0.000, 0.000) x1
Sb (0.000, 0.000, 0.612) x1
Sb (0.500, 0.500, 0.857) x1
Cl (0.500, 0.500, 0.245) x1

=====

The least stable of them is two.

=====

one.
VASP calculation (PBE-GGA) on a geometry-optimized TcSb3Cl structure.

Unit cell a=5.216 b=5.216 c=5.216 alpha=90.00 beta=90.00 gamma=90.00
Space group Pm-3m (No. 221)
Unique sites:
Tc (0.000, 0.000, 0.000) x1
Sb (0.000, 0.500, 0.500) x3
Cl (0.500, 0.500, 0.500) x1

=====

two.
VASP calculation (PBE-GGA) on a geometry-optimized TcSb3Cl structure.

Unit cell a=5.182 b=5.182 c=5.182 alpha=90.00 beta=90.00 gamma=90.00
Space group Pm-3m (No. 221)
Unique sites:
Tc (0.000, 0.000, 0.000) x1
Sb (0.000, 0.000, 0.500) x3
Cl (0.500, 0.500, 0.500) x1

=====

The least stable of them is one.

=====

one.
VASP calculation (PBE-GGA) on a geometry-optimized TcSbCl structure.

Unit cell a=4.5428 b=4.5428 c=3.1560 alpha=90.00 beta=90.00 gamma=120.00
Space group P3m1 (No. 156)
Unique sites:
Tc (0.0000, 0.0000, 0.0000) x1
Sb (0.3333, 0.6667, 0.6459) x1
Cl (0.6667, 0.3333, 0.0936) x1

=====

two.
VASP calculation (PBE-GGA) on a geometry-optimized TcSbCl structure.

Unit cell a=3.2488 b=3.2488 c=7.8149 alpha=90.00 beta=90.00 gamma=120.00
Space group P3m1 (No. 156)
Unique sites:
Tc (0.0000, 0.0000, 0.0000) x1
Sb (0.3333, 0.6667, 0.7453) x1
Cl (0.6667, 0.3333, 0.2191) x1

=====

The least stable of them is one.

=====

one.
VASP calculation (PBE-GGA) on a geometry-optimized TcSbCl structure.

Unit cell a=3.258 b=4.230 c=8.444 alpha=90.00 beta=90.00 gamma=90.00
Space group Imm2 (No. 44)
Unique sites:
Tc (0.000, 0.000, 0.000) x2
Sb (0.000, 0.000, 0.371) x2
Cl (0.000, 0.000, 0.707) x2

=====

two.
VASP calculation (PBE-GGA) on a geometry-optimized TcSbCl structure.

Unit cell a=6.351 b=6.351 c=6.351 alpha=90.00 beta=90.00 gamma=90.00
Space group F-43m (No. 216)
Unique sites:
Tc (0.000, 0.000, 0.000) x4
Sb (0.250, 0.250, 0.250) x4
Cl (0.250, 0.250, 0.750) x4

=====

The least stable of them is one.

=====

one.
VASP calculation (PBE-GGA) on a geometry-optimized TcSbCl structure.

Unit cell a=4.210 b=5.734 c=6.698 alpha=68.47 beta=78.13 gamma=86.41
Space group P-1 (No. 2)
Unique sites:
Tc (0.083, 0.254, 0.029) x2
Sb (0.437, 0.013, 0.771) x2
Cl (0.042, 0.437, 0.292) x2

=====

two.
VASP calculation (PBE-GGA) on a geometry-optimized TcSbCl structure.

Unit cell a=3.110 b=3.110 c=14.376 alpha=90.00 beta=90.00 gamma=90.00
Space group I4mm (No. 107)
Unique sites:
Tc (0.000, 0.000, 0.000) x2
Sb (0.000, 0.000, 0.623) x2
Cl (0.000, 0.000, 0.394) x2

=====

The least stable of them is two.

=====

one.
VASP calculation (PBE-GGA) on a geometry-optimized TcSbCl3 structure.

Unit cell a=5.437 b=5.437 c=5.437 alpha=90.00 beta=90.00 gamma=90.00
Space group Pm-3m (No. 221)
Unique sites:
Tc (0.000, 0.000, 0.000) x1
Sb (0.500, 0.500, 0.500) x1
Cl (0.000, 0.500, 0.500) x3

=====

two.
VASP calculation (PBE-GGA) on a geometry-optimized TcSbCl3 structure.

Unit cell a=4.936 b=4.936 c=4.936 alpha=90.00 beta=90.00 gamma=90.00
Space group Pm-3m (No. 221)
Unique sites:
Tc (0.000, 0.000, 0.000) x1
Sb (0.500, 0.500, 0.500) x1
Cl (0.000, 0.000, 0.500) x3

=====

The least stable of them is one.

=====

one.
VASP calculation (PBE-GGA) on a geometry-optimized TcSbTe2Cl structure.

Unit cell a=5.185 b=5.185 c=5.304 alpha=90.00 beta=90.00 gamma=90.00
Space group P4/mmm (No. 123)
Unique sites:
Tc (0.000, 0.000, 0.000) x1
Sb (0.000, 0.000, 0.500) x1
Te (0.000, 0.500, 0.000) x2
Cl (0.500, 0.500, 0.500) x1

=====

two.
VASP calculation (PBE-GGA) on a geometry-optimized TcSbTe2Cl structure.

Unit cell a=5.476 b=5.476 c=5.119 alpha=90.00 beta=90.00 gamma=90.00
Space group P4/mmm (No. 123)
Unique sites:
Tc (0.000, 0.000, 0.000) x1
Sb (0.500, 0.500, 0.000) x1
Te (0.000, 0.500, 0.500) x2
Cl (0.500, 0.500, 0.500) x1

=====

The least stable of them is two.

=====

one.
VASP calculation (PBE-GGA) on a geometry-optimized TcSb2TeCl structure.

Unit cell a=5.205 b=5.205 c=5.460 alpha=90.00 beta=90.00 gamma=90.00
Space group P4/mmm (No. 123)
Unique sites:
Tc (0.000, 0.000, 0.000) x1
Sb (0.000, 0.500, 0.500) x2
Te (0.500, 0.500, 0.000) x1
Cl (0.500, 0.500, 0.500) x1

=====

two.
VASP calculation (PBE-GGA) on a geometry-optimized TcSb2TeCl structure.

Unit cell a=5.224 b=5.224 c=5.165 alpha=90.00 beta=90.00 gamma=90.00
Space group P4/mmm (No. 123)
Unique sites:
Tc (0.000, 0.000, 0.000) x1
Sb (0.000, 0.500, 0.000) x2
Te (0.000, 0.000, 0.500) x1
Cl (0.500, 0.500, 0.500) x1

=====

The least stable of them is one.

=====

one.
VASP calculation (PBE-GGA) on a geometry-optimized Sb2TeWCl structure.

Unit cell a=5.124 b=5.124 c=5.352 alpha=90.00 beta=90.00 gamma=90.00
Space group P4/mmm (No. 123)
Unique sites:
Sb (0.000, 0.500, 0.000) x2
Te (0.000, 0.000, 0.500) x1
W (0.500, 0.500, 0.500) x1
Cl (0.000, 0.000, 0.000) x1

=====

two.
VASP calculation (PBE-GGA) on a geometry-optimized Sb2TeWCl structure.

Unit cell a=5.283 b=5.283 c=5.211 alpha=90.00 beta=90.00 gamma=90.00
Space group P4/mmm (No. 123)
Unique sites:
Sb (0.000, 0.500, 0.000) x2
Te (0.000, 0.000, 0.500) x1
W (0.000, 0.000, 0.000) x1
Cl (0.500, 0.500, 0.500) x1

=====

The least stable of them is one.